(1)
Pa2SnAs2N2 after structural relaxation, computed with PBE-GGA.

Space-group type = P-3m1

Cell: 3.7781 3.7781 12.3416 Å, 90.00 90.00 120.00°
Closest atoms and distances in Å follow each position.
Sites, in units of the cell vectors:
Pa 0.6667 0.3333 0.2355  3 N 2.20
Pa 0.3333 0.6667 0.7645  3 N 2.20
Sn 0.0000 0.0000 0.0000  6 N 3.40, 6 Pa 3.63, 6 Sn 3.78
As 0.0000 0.0000 0.4067  1 As 2.30
As 0.0000 0.0000 0.5933  1 As 2.30
N 0.6667 0.3333 0.7885  3 Pa 2.20
N 0.3333 0.6667 0.2115  3 Pa 2.20

(2)
MgSc6S8 after structural relaxation, computed with PBE-GGA.

Space-group type = Fm-3m

Cell: 7.3598 7.3598 7.3598 Å, 60.00 60.00 60.00°
Closest atoms and distances in Å follow each position.
Sites, in units of the cell vectors:
Mg 0.0000 0.0000 0.0000  6 S 2.59
Sc 0.0000 0.5000 0.5000  6 S 2.60
Sc 0.5000 0.0000 0.0000  6 S 2.60
Sc 0.5000 0.5000 0.0000  6 S 2.60
Sc 0.0000 0.0000 0.5000  6 S 2.60
Sc 0.0000 0.5000 0.0000  6 S 2.60
Sc 0.5000 0.0000 0.5000  6 S 2.60
S 0.7500 0.7500 0.7500  6 Sc 2.60
S 0.2500 0.2500 0.2500  6 Sc 2.60
S 0.7516 0.2484 0.2484  1 Mg 2.59, 4 Sc 2.60
S 0.2484 0.7516 0.7516  1 Mg 2.59, 4 Sc 2.60
S 0.2484 0.2484 0.7516  1 Mg 2.59, 4 Sc 2.60
S 0.7516 0.7516 0.2484  1 Mg 2.59, 4 Sc 2.60
S 0.7516 0.2484 0.7516  1 Mg 2.59, 4 Sc 2.60
S 0.2484 0.7516 0.2484  1 Mg 2.59, 4 Sc 2.60

(3)
RbCuIrF6 after structural relaxation, computed with PBE-GGA.

Space-group type = Imma

Cell: 7.2550 7.3965 7.5332 Å, 119.40 118.79 90.00°
Closest atoms and distances in Å follow each position.
Sites, in units of the cell vectors:
Rb 0.9081 0.6581 0.8162  5 F 3.03-3.08
Rb 0.0919 0.3419 0.1838  5 F 3.03-3.08
Cu 0.5000 0.0000 0.5000  6 F 1.93-2.14
Cu 0.0000 0.0000 0.5000  6 F 1.93-2.14
Ir 0.5000 0.5000 0.0000  6 F 2.01-2.04
Ir 0.5000 0.0000 0.0000  6 F 2.01-2.04
F 0.4216 0.6716 0.8432  2 Ir 2.04
F 0.8101 0.0601 0.6203  2 Cu 1.93
F 0.8262 0.0770 0.2357  1 Ir 2.01, 1 Cu 2.14
F 0.4096 0.6587 0.2357  1 Ir 2.01, 1 Cu 2.14
F 0.4096 0.0770 0.2357  1 Ir 2.01, 1 Cu 2.14
F 0.8262 0.6587 0.2357  1 Ir 2.01, 1 Cu 2.14
F 0.5784 0.3284 0.1568  2 Ir 2.04
F 0.1899 0.9399 0.3797  2 Cu 1.93
F 0.1738 0.9230 0.7643  1 Ir 2.01, 1 Cu 2.14
F 0.5904 0.3413 0.7643  1 Ir 2.01, 1 Cu 2.14
F 0.5904 0.9230 0.7643  1 Ir 2.01, 1 Cu 2.14
F 0.1738 0.3413 0.7643  1 Ir 2.01, 1 Cu 2.14

(4)
KPt2 after structural relaxation, computed with PBE-GGA.

Space-group type = Pa-3
Energy of formation = 127 kJ per mole of atoms

Cell: 7.2741 7.2741 7.2741 Å, 90.00 90.00 90.00°
Closest atoms and distances in Å follow each position.
Sites, in units of the cell vectors:
K 0.0000 0.0000 0.0000  6 Pt 3.10
K 0.0000 0.5000 0.5000  6 Pt 3.10
K 0.5000 0.0000 0.5000  6 Pt 3.10
K 0.5000 0.5000 0.0000  6 Pt 3.10
Pt 0.0961 0.5961 0.9039  1 Pt 2.42
Pt 0.0961 0.9039 0.4039  1 Pt 2.42
Pt 0.4039 0.0961 0.9039  1 Pt 2.42
Pt 0.4039 0.4039 0.4039  1 Pt 2.42
Pt 0.5961 0.5961 0.5961  1 Pt 2.42
Pt 0.5961 0.9039 0.0961  1 Pt 2.42
Pt 0.9039 0.0961 0.5961  1 Pt 2.42
Pt 0.9039 0.4039 0.0961  1 Pt 2.42

no.,total magnetic moment (μB/cell),energy (eV/f.u.)
1,0.00,-53.58
2,0.00,-100.47
3,2.09,-41.05
4,4.11,-9.23